The following is a DFT calculation (GGA-PBE) of an optimized crystal structure of PrAgSeO.

Cell lengths 5.9327, 5.9338, 11.5553 Å; angles 90.00, 92.69, 90.00 degrees
Closest atoms and distances in Å follow each position.
Sites, in units of the cell vectors:
Se  0.2950  0.0486  0.2914  2 Ag 2.47-2.48
Se  0.7003  0.6403  0.2837  2 Ag 2.47-2.50
Se  0.7050  0.5486  0.7086  2 Ag 2.47-2.48
Se  0.2997  0.1403  0.7163  2 Ag 2.47-2.50
O  0.7497  0.0676  0.0001  4 Pr 2.38-2.40
O  0.2503  0.5676  0.9999  4 Pr 2.38-2.40
O  0.2482  0.0670  0.0007  4 Pr 2.38-2.40
O  0.7518  0.5670  0.9993  4 Pr 2.38-2.40
Pr  0.4927  0.8181  0.9013  4 O 2.38-2.40
Pr  0.9915  0.3188  0.9007  4 O 2.38-2.40
Pr  0.5073  0.3181  0.0987  4 O 2.38-2.40
Pr  0.0085  0.8188  0.0993  4 O 2.38-2.40
Ag  0.0018  0.8428  0.7029  2 Se 2.48-2.50
Ag  0.9982  0.3428  0.2971  2 Se 2.48-2.50
Ag  0.3066  0.0968  0.5038  2 Se 2.47
Ag  0.6934  0.5968  0.4962  2 Se 2.47

Calculated values
**DFT total energy**: -92.93 eV for the cell shown